Zn2Cu2Bi | PBE | optimized geometry

formation energy: 176 meV/atom
mass density: 8.783 g cm⁻³
magnetic moment: 0.000 μB/atom
energy above the lowest structure with this stoichiometry: 0.077 eV/atom

CIF file:
```
data_Zn2Cu2Bi
_chemical_formula_sum 'Zn4 Cu4 Bi2'
_cell_length_a 3.872
_cell_length_b 3.872
_cell_length_c 11.776
_cell_angle_alpha 90.00
_cell_angle_beta 90.00
_cell_angle_gamma 90.00
_symmetry_space_group_name_H-M 'I 4/m m m'
_symmetry_Int_Tables_number 139
_symmetry_space_group_name_Hall '-I 4 2'
loop_
_atom_site_label
_atom_site_fract_x
_atom_site_fract_y
_atom_site_fract_z
_atom_site_occupancy
Zn1 0.000 0.000 0.111 1
Cu1 0.000 0.500 0.250 1
Bi1 0.000 0.000 0.500 1
```